V3Zn3N | PBE | optimized geometry

Cell and atoms, written as POSCAR:
```
V3Zn3N
1.0
0.000 5.562 5.562
5.562 0.000 5.562
5.562 5.562 0.000
V Zn N
12 12 4
Cartesian
4.172 4.172 0.567
4.172 0.567 4.172
7.776 4.172 4.172
6.953 6.953 3.348
6.953 3.348 6.953
10.557 6.953 6.953
0.567 4.172 4.172
4.172 7.776 4.172
4.172 4.172 7.776
3.348 6.953 6.953
6.953 10.557 6.953
6.953 6.953 10.557
5.562 2.781 2.781
3.218 3.218 3.218
5.126 5.126 3.218
5.126 3.218 5.126
7.907 5.999 5.999
2.781 5.562 2.781
2.781 2.781 5.562
5.562 5.562 5.562
3.218 5.126 5.126
5.999 7.907 5.999
5.999 5.999 7.907
7.907 7.907 7.907
0.000 0.000 0.000
2.781 2.781 0.000
2.781 0.000 2.781
0.000 2.781 2.781
```

Values from the calculation:
Uncorrected formation energy = -2.94 eV per formula unit
Calculated volume = 12.3 Å³ per atom
Space-group type = Fd-3m, No. 227

---

Pr4Zn5Cd | PBE | optimized geometry

Cell and atoms, written as POSCAR:
```
Pr4Zn5Cd
1.0
3.684 0.000 0.000
0.000 3.684 0.000
0.000 0.000 17.945
Pr Zn Cd
4 5 1
Cartesian
0.000 0.000 1.879
0.000 0.000 5.564
0.000 0.000 12.382
0.000 0.000 16.066
1.842 1.842 0.000
1.842 1.842 3.708
1.842 1.842 7.489
1.842 1.842 10.457
1.842 1.842 14.237
0.000 0.000 8.973
```

Values from the calculation:
Formation energy = -0.238 eV per atom
Calculated volume = 24.4 Å³ per atom
Space-group type = P4/mmm, No. 123

---

InTeO4F | PBE | optimized geometry

Cell and atoms, written as POSCAR:
```
InTeO4F
1.0
4.503 -3.583 0.000
4.503 3.583 0.000
-4.057 0.000 7.523
In Te O F
2 2 8 2
Cartesian
0.730 0.000 1.521
4.220 0.000 6.002
0.402 0.000 5.225
4.548 0.000 2.298
-0.317 1.434 6.115
-0.205 0.000 3.475
2.717 0.000 2.310
5.267 1.434 1.408
-0.317 -1.434 6.115
2.233 0.000 5.213
5.155 0.000 4.048
5.267 -1.434 1.408
-2.866 0.000 6.960
7.815 0.000 0.563
```

Values from the calculation:
Uncorrected formation energy = -8.61 eV per formula unit
Calculated volume = 17.3 Å³ per atom
Space-group type = C2/m, No. 12